Computed, not measured: a relaxed structure of Rb3BaN at the PBE-GGA level of DFT. Values from VASP.

Cell and atoms, written as Quantum ESPRESSO input:
```
&SYSTEM
  ibrav = 0, nat = 5, ntyp = 3
/
ATOMIC_SPECIES
Rb 85.47 Rb.upf
Ba 137.33 Ba.upf
N 14.01 N.upf
CELL_PARAMETERS angstrom
-2.747 -2.673 -5.011
2.777 -5.488 1.406
-4.955 -1.594 3.566
ATOMIC_POSITIONS angstrom
Rb -2.477 -0.797 1.783
Rb 1.389 -2.744 0.703
Rb -1.374 -1.337 -2.506
Ba -2.462 -4.878 -0.020
N 0.000 0.000 0.000
```

Results
* space group: Pm-3m, No. 221
* E_form (uncorrected): 0.71 eV/atom
* distance to the lowest polymorph of the same formula: 0 meV per atom
* calculated total energy: -1.924 eV per atom

Computed, not measured: a relaxed structure of RbBaN at the PBE-GGA level of DFT. Values from VASP.

Cell and atoms, written as Quantum ESPRESSO input:
```
&SYSTEM
  ibrav = 0, nat = 6, ntyp = 3
/
ATOMIC_SPECIES
Ba 137.33 Ba.upf
N 14.01 N.upf
Rb 85.47 Rb.upf
CELL_PARAMETERS angstrom
-19.575 -7.266 -2.830
-8.249 -0.206 -3.185
8.800 0.291 -0.843
ATOMIC_POSITIONS angstrom
Ba 0.923 -1.662 -1.962
Ba -19.946 -5.518 -4.897
N 0.000 0.000 0.000
N -9.787 -3.633 -1.415
Rb -8.256 -5.344 -3.295
Rb -10.767 -1.837 -3.564
```

Results
* space group: C2/m, No. 12
* E_form (uncorrected): 0.09 eV/atom
* calculated total energy: -3.653 eV per atom

Computed, not measured: a relaxed structure of Rb3BaN at the PBE-GGA level of DFT. Values from VASP.

Cell and atoms, written as Quantum ESPRESSO input:
```
&SYSTEM
  ibrav = 0, nat = 5, ntyp = 3
/
ATOMIC_SPECIES
Rb 85.47 Rb.upf
N 14.01 N.upf
Ba 137.33 Ba.upf
CELL_PARAMETERS angstrom
-2.610 1.316 8.379
-6.670 -5.734 -1.177
5.240 -6.644 2.675
ATOMIC_POSITIONS angstrom
Rb 2.620 -3.322 1.338
Rb -3.335 -2.867 -0.589
Rb -1.305 0.658 4.190
N -2.020 -5.531 4.939
Ba 0.000 0.000 0.000
```

Results
* space group: Pm-3m, No. 221
* E_form (uncorrected): 1.39 eV/atom
* distance to the lowest polymorph of the same formula: 688 meV per atom
* calculated total energy: -1.237 eV per atom

Computed, not measured: a relaxed structure of RbBaN3 at the PBE-GGA level of DFT. Values from VASP.

Cell and atoms, written as Quantum ESPRESSO input:
```
&SYSTEM
  ibrav = 0, nat = 20, ntyp = 3
/
ATOMIC_SPECIES
Rb 85.47 Rb.upf
Ba 137.33 Ba.upf
N 14.01 N.upf
CELL_PARAMETERS angstrom
-14.774 4.197 2.178
-12.812 7.484 -3.323
-3.639 -5.002 -2.577
ATOMIC_POSITIONS angstrom
Rb -13.871 2.126 -1.965
Rb -25.160 6.223 -2.687
Rb -21.677 3.796 -2.896
Rb -17.354 4.553 -1.757
Ba -25.846 10.470 -1.249
Ba -9.546 2.882 -0.826
Ba -6.067 0.458 -1.034
Ba -5.379 -3.791 -2.473
N -18.546 5.981 0.651
N -8.164 1.304 -2.652
N -19.739 3.043 -0.675
N -16.846 7.370 -2.726
N -19.292 5.306 -3.977
N -16.094 2.847 -4.178
N -7.449 2.035 0.791
N -11.385 3.740 -2.558
N -15.131 3.832 0.456
N -14.480 -0.795 -1.484
N -11.739 1.660 0.154
N -12.873 0.412 -4.272
```

Results
* space group: Fddd, No. 70
* E_form (uncorrected): 1.51 eV/atom
* calculated total energy: -4.065 eV per atom

Computed, not measured: a relaxed structure of RbBaN at the PBE-GGA level of DFT. Values from VASP.

Cell and atoms, written as Quantum ESPRESSO input:
```
&SYSTEM
  ibrav = 0, nat = 6, ntyp = 3
/
ATOMIC_SPECIES
N 14.01 N.upf
Rb 85.47 Rb.upf
Ba 137.33 Ba.upf
CELL_PARAMETERS angstrom
9.386 0.217 0.631
4.345 6.928 0.142
4.735 -6.608 4.841
ATOMIC_POSITIONS angstrom
N 5.399 0.315 1.464
N 5.396 1.593 1.430
Rb 7.485 0.976 3.783
Rb 10.106 4.427 1.714
Ba 13.024 1.102 4.143
Ba 5.410 4.124 1.363
```

Results
* space group: P1, No. 1
* E_form (uncorrected): -0.10 eV/atom
* calculated total energy: -3.843 eV per atom

Computed, not measured: a relaxed structure of RbBa2N at the PBE-GGA level of DFT. Values from VASP.

Cell and atoms, written as Quantum ESPRESSO input:
```
&SYSTEM
  ibrav = 0, nat = 8, ntyp = 3
/
ATOMIC_SPECIES
Rb 85.47 Rb.upf
Ba 137.33 Ba.upf
N 14.01 N.upf
CELL_PARAMETERS angstrom
8.493 0.000 0.000
0.000 8.493 0.000
4.247 4.247 5.759
ATOMIC_POSITIONS angstrom
Rb 0.000 0.000 0.000
Rb 8.493 4.247 2.879
Ba 10.616 9.124 4.319
Ba 3.615 6.370 1.440
Ba 4.878 2.123 1.440
Ba 6.370 7.862 4.319
N 4.247 8.493 2.879
N 4.247 4.247 0.000
```

Results
* space group: I-42d, No. 122
* E_form (uncorrected): -0.07 eV/atom
* calculated total energy: -3.356 eV per atom

Computed, not measured: a relaxed structure of Rb2BaN at the PBE-GGA level of DFT. Values from VASP.

Cell and atoms, written as Quantum ESPRESSO input:
```
&SYSTEM
  ibrav = 0, nat = 8, ntyp = 3
/
ATOMIC_SPECIES
Rb 85.47 Rb.upf
N 14.01 N.upf
Ba 137.33 Ba.upf
CELL_PARAMETERS angstrom
-1.892 3.218 12.184
12.031 -3.205 2.715
5.805 2.342 6.947
ATOMIC_POSITIONS angstrom
Rb 2.100 1.639 7.584
Rb 11.144 2.322 17.778
Rb 10.237 1.207 11.267
Rb 8.407 -0.459 7.064
N 11.453 -0.428 8.556
N 5.069 0.006 7.450
Ba 4.491 2.783 13.291
Ba 0.000 0.000 0.000
```

Results
* space group: I-42d, No. 122
* E_form (uncorrected): 0.29 eV/atom
* calculated total energy: -2.756 eV per atom

Computed, not measured: a relaxed structure of RbBaN at the PBE-GGA level of DFT. Values from VASP.

Cell and atoms, written as Quantum ESPRESSO input:
```
&SYSTEM
  ibrav = 0, nat = 6, ntyp = 3
/
ATOMIC_SPECIES
N 14.01 N.upf
Rb 85.47 Rb.upf
Ba 137.33 Ba.upf
CELL_PARAMETERS angstrom
-14.655 10.657 26.456
-5.498 0.298 7.240
5.927 -4.315 -5.385
ATOMIC_POSITIONS angstrom
N -7.675 3.367 14.389
N -6.551 3.272 13.923
Rb -11.995 6.547 22.271
Rb -2.231 0.092 6.041
Ba 1.335 -1.040 2.765
Ba -15.560 7.680 25.546
```

Results
* space group: C2/m, No. 12
* E_form (uncorrected): -0.06 eV/atom
* calculated total energy: -3.799 eV per atom